# CdP2Pb

CdP2Pb after structural relaxation (PBE, the Alexandria database).

Summary:
Energy of formation, eV per atom: 0.180
Total DFT energy (no corrections), eV for the cell shown: -29.45

Cell: 3.312 5.457 9.965 Å, 90.00 90.00 90.00°
Sites, in units of the cell vectors:
Cd  0.000  0.000  0.000
Cd  0.500  0.500  0.500
P  0.000  0.000  0.591
P  0.000  0.500  0.244
P  0.500  0.000  0.744
P  0.500  0.500  0.091
Pb  0.000  0.500  0.786
Pb  0.500  0.000  0.286


# NpScHg

NpScHg after structural relaxation (PBE, the Alexandria database).

Summary:
Energy of formation, eV per atom: 0.071
Total DFT energy (no corrections), eV for the cell shown: -77.44

Cell: 4.830 5.063 10.511 Å, 90.00 90.00 90.00°
Sites, in units of the cell vectors:
Np  0.000  0.000  0.000
Np  0.000  0.500  0.000
Np  0.500  0.000  0.000
Np  0.500  0.500  0.000
Sc  0.000  0.250  0.243
Sc  0.000  0.750  0.757
Sc  0.500  0.250  0.757
Sc  0.500  0.750  0.243
Hg  0.000  0.250  0.593
Hg  0.000  0.750  0.407
Hg  0.500  0.250  0.407
Hg  0.500  0.750  0.593


# ScAlRh2

ScAlRh2 after structural relaxation (PBE, the Alexandria database).

Summary:
Energy of formation, eV per atom: -0.646
Total DFT energy (no corrections), eV for the cell shown: -82.08

Cell: 3.069 3.069 23.526 Å, 90.00 90.00 120.00°
Sites, in units of the cell vectors:
Sc  0.000  0.000  0.000
Sc  0.333  0.667  0.667
Sc  0.667  0.333  0.333
Al  0.000  0.000  0.500
Al  0.333  0.667  0.167
Al  0.667  0.333  0.833
Rh  0.000  0.000  0.246
Rh  0.000  0.000  0.754
Rh  0.333  0.667  0.421
Rh  0.333  0.667  0.912
Rh  0.667  0.333  0.088
Rh  0.667  0.333  0.579


# TbPr4Pu3S8

TbPr4Pu3S8 after structural relaxation (PBE, the Alexandria database).

Summary:
Total DFT energy (no corrections), eV for the cell shown: -130.81
Formation energy without anion corrections, kJ per mole of atoms: -187

Cell: 8.081 8.081 8.081 Å, 59.55 59.55 59.55°
Sites, in units of the cell vectors:
Tb  0.000  0.000  0.000
Pr  0.000  0.000  0.500
Pr  0.000  0.500  0.000
Pr  0.500  0.000  0.000
Pr  0.500  0.500  0.500
Pu  0.000  0.500  0.500
Pu  0.500  0.000  0.500
Pu  0.500  0.500  0.000
S  0.245  0.245  0.746
S  0.245  0.746  0.245
S  0.254  0.755  0.755
S  0.255  0.255  0.255
S  0.745  0.745  0.745
S  0.746  0.245  0.245
S  0.755  0.254  0.755
S  0.755  0.755  0.254


# ReBr2

ReBr2 after structural relaxation (PBE, the Alexandria database).

Summary:
Total DFT energy (no corrections), eV for the cell shown: -60.36
Formation energy without anion corrections, kJ per mole of atoms: 23
Energy above the lowest structure with this stoichiometry, meV per atom: 230

Cell: 14.826 3.398 9.260 Å, 90.00 126.35 90.00°
Sites, in units of the cell vectors:
Re  0.225  0.000  0.395
Re  0.275  0.500  0.605
Re  0.725  0.500  0.395
Re  0.775  0.000  0.605
Br  0.046  0.500  0.271
Br  0.227  0.000  0.777
Br  0.273  0.500  0.223
Br  0.454  0.000  0.729
Br  0.546  0.000  0.271
Br  0.727  0.500  0.777
Br  0.773  0.000  0.223
Br  0.954  0.500  0.729


# NpBr2Cl

NpBr2Cl after structural relaxation (PBE, the Alexandria database).

Summary:
Total DFT energy (no corrections), eV for the cell shown: -47.57
Formation energy without anion corrections, kJ per mole of atoms: -136

Cell: 10.131 3.905 8.009 Å, 90.00 111.33 90.00°
Sites, in units of the cell vectors:
Np  0.000  0.000  0.000
Np  0.500  0.500  0.000
Br  0.023  0.500  0.277
Br  0.364  0.000  0.723
Br  0.523  0.000  0.277
Br  0.864  0.500  0.723
Cl  0.213  0.500  0.000
Cl  0.713  0.000  0.000


# Ac4Bi2PSe

Ac4Bi2PSe after structural relaxation (PBE, the Alexandria database).

Summary:
Total DFT energy (no corrections), eV for the cell shown: -43.73
Formation energy without anion corrections, kJ per mole of atoms: -128

Cell: 8.086 4.663 8.089 Å, 90.00 109.36 90.00°
Sites, in units of the cell vectors:
Ac  0.236  0.000  0.229
Ac  0.248  0.500  0.767
Ac  0.752  0.500  0.233
Ac  0.764  0.000  0.771
Bi  0.000  0.000  0.500
Bi  0.500  0.500  0.500
P  0.000  0.500  0.000
Se  0.500  0.000  0.000


# GaSn2Sb

GaSn2Sb after structural relaxation (PBE, the Alexandria database).

Summary:
Total DFT energy (no corrections), eV for the cell shown: -29.68
Formation energy without anion corrections, kJ per mole of atoms: 8
Energy above the lowest structure with this stoichiometry, meV per atom: 96

Cell: 7.414 4.246 7.613 Å, 90.00 111.23 90.00°
Sites, in units of the cell vectors:
Ga  0.000  0.000  0.000
Ga  0.500  0.500  0.000
Sn  0.093  0.500  0.765
Sn  0.239  0.500  0.238
Sn  0.593  0.000  0.765
Sn  0.739  0.000  0.238
Sb  0.161  0.000  0.505
Sb  0.661  0.500  0.505


# NbCr3Te

NbCr3Te after structural relaxation (PBE, the Alexandria database).

Summary:
Total DFT energy (no corrections), eV for the cell shown: -34.52
Formation energy without anion corrections, kJ per mole of atoms: 146
Energy above the lowest structure with this stoichiometry, meV per atom: 158

Cell: 4.924 4.924 4.924 Å, 90.00 90.00 90.00°
Sites, in units of the cell vectors:
Nb  0.000  0.000  0.000
Cr  0.000  0.500  0.500
Cr  0.500  0.000  0.500
Cr  0.500  0.500  0.000
Te  0.500  0.500  0.500


# ThCuOs

ThCuOs after structural relaxation (PBE, the Alexandria database).

Summary:
Energy of formation, eV per atom: 0.162
Total DFT energy (no corrections), eV for the cell shown: -44.52
Energy above the lowest structure with this stoichiometry, meV per atom: 257

Cell: 3.514 3.514 9.464 Å, 90.00 90.00 90.00°
Sites, in units of the cell vectors:
Th  0.000  0.000  0.000
Th  0.500  0.500  0.500
Cu  0.000  0.000  0.698
Cu  0.500  0.500  0.198
Os  0.000  0.000  0.306
Os  0.500  0.500  0.806


# PrDyAg2

PrDyAg2 after structural relaxation (PBE, the Alexandria database).

Summary:
Energy of formation, eV per atom: -0.266
Total DFT energy (no corrections), eV for the cell shown: -64.60
Energy above the lowest structure with this stoichiometry, meV per atom: 23

Cell: 7.434 7.434 7.434 Å, 90.00 90.00 90.00°
Sites, in units of the cell vectors:
Pr  0.000  0.000  0.000
Pr  0.000  0.500  0.500
Pr  0.500  0.000  0.500
Pr  0.500  0.500  0.000
Dy  0.000  0.000  0.500
Dy  0.000  0.500  0.000
Dy  0.500  0.000  0.000
Dy  0.500  0.500  0.500
Ag  0.250  0.250  0.250
Ag  0.250  0.250  0.750
Ag  0.250  0.750  0.250
Ag  0.250  0.750  0.750
Ag  0.750  0.250  0.250
Ag  0.750  0.250  0.750
Ag  0.750  0.750  0.250
Ag  0.750  0.750  0.750


# CrPb

CrPb after structural relaxation (PBE, the Alexandria database).

Summary:
Energy of formation, eV per atom: 0.655
Total DFT energy (no corrections), eV for the cell shown: -48.09

Cell: 4.091 4.091 10.220 Å, 90.00 90.00 90.00°
Sites, in units of the cell vectors:
Cr  0.000  0.250  0.375
Cr  0.000  0.750  0.625
Cr  0.500  0.250  0.125
Cr  0.500  0.750  0.875
Pb  0.000  0.250  0.875
Pb  0.000  0.750  0.125
Pb  0.500  0.250  0.625
Pb  0.500  0.750  0.375


# Sr2ErAg

Sr2ErAg after structural relaxation (PBE, the Alexandria database).

Summary:
Energy of formation, eV per atom: 0.282
Total DFT energy (no corrections), eV for the cell shown: -28.95

Cell: 3.833 3.833 35.693 Å, 90.00 90.00 120.00°
Sites, in units of the cell vectors:
Sr  0.000  0.000  0.100
Sr  0.000  0.000  0.900
Sr  0.333  0.667  0.566
Sr  0.333  0.667  0.767
Sr  0.667  0.333  0.233
Sr  0.667  0.333  0.434
Er  0.000  0.000  0.000
Er  0.333  0.667  0.667
Er  0.667  0.333  0.333
Ag  0.000  0.000  0.500
Ag  0.333  0.667  0.167
Ag  0.667  0.333  0.833